1.
DFT (PBE) results for a relaxed structure of LiTaAu.

Unit cell a=6.128 b=6.128 c=6.128 alpha=90.00 beta=90.00 gamma=90.00
Element x y z (fractional)
Li 0.000 0.000 0.000
Li 0.000 0.500 0.500
Li 0.500 0.000 0.500
Li 0.500 0.500 0.000
Ta 0.250 0.250 0.750
Ta 0.250 0.750 0.250
Ta 0.750 0.250 0.250
Ta 0.750 0.750 0.750
Au 0.000 0.000 0.500
Au 0.000 0.500 0.000
Au 0.500 0.000 0.000
Au 0.500 0.500 0.500

Computed properties:
- energy above the most stable polymorph in this dataset (meV/atom) = 303

---

2.
DFT (PBE) results for a relaxed structure of LiTaAu2.

Unit cell a=6.379 b=6.379 c=6.379 alpha=90.00 beta=90.00 gamma=90.00
Element x y z (fractional)
Li 0.000 0.000 0.000
Li 0.000 0.500 0.500
Li 0.500 0.000 0.500
Li 0.500 0.500 0.000
Ta 0.250 0.250 0.250
Ta 0.250 0.750 0.750
Ta 0.750 0.250 0.750
Ta 0.750 0.750 0.250
Au 0.000 0.000 0.500
Au 0.000 0.500 0.000
Au 0.250 0.250 0.750
Au 0.250 0.750 0.250
Au 0.500 0.000 0.000
Au 0.500 0.500 0.500
Au 0.750 0.250 0.250
Au 0.750 0.750 0.750

Computed properties:
- energy (Ry per atom) = -0.373

---

3.
DFT (PBE) results for a relaxed structure of LiTaTe3Au.

Unit cell a=7.450 b=7.450 c=10.538 alpha=90.00 beta=90.00 gamma=150.60
Element x y z (fractional)
Li 0.200 0.800 0.750
Li 0.800 0.200 0.250
Ta 0.000 0.000 0.000
Ta 0.000 0.000 0.500
Te 0.105 0.895 0.250
Te 0.355 0.645 0.038
Te 0.355 0.645 0.462
Te 0.645 0.355 0.538
Te 0.645 0.355 0.962
Te 0.895 0.105 0.750
Au 0.460 0.540 0.250
Au 0.540 0.460 0.750

Computed properties:
- energy (Ry per atom) = -0.343

---

4.
DFT (PBE) results for a relaxed structure of LiTbAu.

Unit cell a=6.368 b=6.368 c=6.368 alpha=90.00 beta=90.00 gamma=90.00
Element x y z (fractional)
Li 0.000 0.000 0.000
Li 0.000 0.500 0.500
Li 0.500 0.000 0.500
Li 0.500 0.500 0.000
Tb 0.250 0.250 0.250
Tb 0.250 0.750 0.750
Tb 0.750 0.250 0.750
Tb 0.750 0.750 0.250
Au 0.250 0.250 0.750
Au 0.250 0.750 0.250
Au 0.750 0.250 0.250
Au 0.750 0.750 0.750

Computed properties:
- energy above the most stable polymorph in this dataset (meV/atom) = 387

---

5.
DFT (PBE) results for a relaxed structure of LiTbAu.

Unit cell a=4.051 b=4.051 c=8.043 alpha=90.00 beta=90.00 gamma=90.00
Element x y z (fractional)
Li 0.250 0.750 0.000
Li 0.750 0.250 0.000
Tb 0.250 0.250 0.347
Tb 0.750 0.750 0.653
Au 0.250 0.250 0.745
Au 0.750 0.750 0.255

Computed properties:
- energy above the most stable polymorph in this dataset (meV/atom) = 0

---

6.
DFT (PBE) results for a relaxed structure of Li2TcAu.

Unit cell a=6.225 b=6.225 c=6.225 alpha=90.00 beta=90.00 gamma=90.00
Element x y z (fractional)
Li 0.000 0.000 0.000
Li 0.000 0.500 0.500
Li 0.250 0.250 0.250
Li 0.250 0.750 0.750
Li 0.500 0.000 0.500
Li 0.500 0.500 0.000
Li 0.750 0.250 0.750
Li 0.750 0.750 0.250
Tc 0.000 0.000 0.500
Tc 0.000 0.500 0.000
Tc 0.500 0.000 0.000
Tc 0.500 0.500 0.500
Au 0.250 0.250 0.750
Au 0.250 0.750 0.250
Au 0.750 0.250 0.250
Au 0.750 0.750 0.750

Computed properties:
- energy (Ry per atom) = -0.307

---

7.
DFT (PBE) results for a relaxed structure of LiTcTe3Au.

Unit cell a=7.211 b=7.211 c=10.683 alpha=90.00 beta=90.00 gamma=148.83
Element x y z (fractional)
Li 0.214 0.786 0.750
Li 0.786 0.214 0.250
Tc 0.000 0.000 0.000
Tc 0.000 0.000 0.500
Te 0.088 0.912 0.250
Te 0.359 0.641 0.022
Te 0.359 0.641 0.478
Te 0.641 0.359 0.522
Te 0.641 0.359 0.978
Te 0.912 0.088 0.750
Au 0.438 0.562 0.250
Au 0.562 0.438 0.750

Computed properties:
- energy (Ry per atom) = -0.313

---

8.
DFT (PBE) results for a relaxed structure of Li2Te2Au.

Unit cell a=9.331 b=4.249 c=6.008 alpha=90.00 beta=105.43 gamma=90.00
Element x y z (fractional)
Li 0.164 0.000 0.299
Li 0.336 0.500 0.701
Li 0.664 0.500 0.299
Li 0.836 0.000 0.701
Te 0.149 0.000 0.787
Te 0.351 0.500 0.213
Te 0.649 0.500 0.787
Te 0.851 0.000 0.213
Au 0.000 0.500 0.500
Au 0.500 0.000 0.500

Computed properties:
- energy (Ry per atom) = -0.241

---

9.
DFT (PBE) results for a relaxed structure of LiThTe3Au.

Unit cell a=7.858 b=7.858 c=11.400 alpha=90.00 beta=90.00 gamma=148.25
Element x y z (fractional)
Li 0.162 0.838 0.750
Li 0.838 0.162 0.250
Th 0.000 0.000 0.000
Th 0.000 0.000 0.500
Te 0.093 0.907 0.250
Te 0.354 0.646 0.063
Te 0.354 0.646 0.437
Te 0.646 0.354 0.563
Te 0.646 0.354 0.937
Te 0.907 0.093 0.750
Au 0.474 0.526 0.250
Au 0.526 0.474 0.750

Computed properties:
- energy (Ry per atom) = -0.335

---

10.
DFT (PBE) results for a relaxed structure of LiTe4WAu3.

Unit cell a=6.379 b=6.379 c=6.379 alpha=90.00 beta=90.00 gamma=90.00
Element x y z (fractional)
Li 0.000 0.000 0.000
Te 0.254 0.254 0.254
Te 0.254 0.746 0.746
Te 0.746 0.254 0.746
Te 0.746 0.746 0.254
W 0.500 0.500 0.500
Au 0.000 0.500 0.500
Au 0.500 0.000 0.500
Au 0.500 0.500 0.000

Computed properties:
- energy (Ry per atom) = -0.301

---

11.
DFT (PBE) results for a relaxed structure of LiZrTe3Au.

Unit cell a=12.978 b=4.063 c=12.211 alpha=90.00 beta=90.00 gamma=90.00
Element x y z (fractional)
Li 0.218 0.250 0.059
Li 0.282 0.750 0.559
Li 0.718 0.250 0.441
Li 0.782 0.750 0.941
Zr 0.075 0.250 0.326
Zr 0.425 0.750 0.826
Zr 0.575 0.250 0.174
Zr 0.925 0.750 0.674
Te 0.052 0.750 0.152
Te 0.075 0.250 0.583
Te 0.214 0.750 0.872
Te 0.286 0.250 0.372
Te 0.425 0.750 0.083
Te 0.448 0.250 0.652
Te 0.552 0.750 0.348
Te 0.575 0.250 0.917
Te 0.714 0.750 0.628
Te 0.786 0.250 0.128
Te 0.925 0.750 0.417
Te 0.948 0.250 0.848
Au 0.248 0.250 0.714
Au 0.252 0.750 0.214
Au 0.748 0.250 0.786
Au 0.752 0.750 0.286

Computed properties:
- energy above the most stable polymorph in this dataset (meV/atom) = 47

---

12.
DFT (PBE) results for a relaxed structure of LiZrTe3Au.

Unit cell a=8.014 b=4.074 c=9.980 alpha=90.00 beta=104.56 gamma=90.00
Element x y z (fractional)
Li 0.243 0.250 0.214
Li 0.757 0.750 0.786
Zr 0.194 0.750 0.687
Zr 0.806 0.250 0.313
Te 0.084 0.750 0.369
Te 0.197 0.750 0.978
Te 0.435 0.250 0.639
Te 0.565 0.750 0.361
Te 0.803 0.250 0.022
Te 0.916 0.250 0.631
Au 0.403 0.250 0.904
Au 0.597 0.750 0.096

Computed properties:
- energy above the most stable polymorph in this dataset (meV/atom) = 0

---

Calculated calculated volume (Å³/cell), listed in the same order as above: 230.2 259.5 287.1 258.3 132.0 241.3 287.5 229.6 370.4 259.6 643.8 315.4